PBE-GGA La3Nd12Dy, relaxed; electronic total energy = -4.77 eV/atom; size of the total moment = 0.00 μB/cell; formation enthalpy at 0 K = 0.0134 eV/atom; theoretical density = 6.78 g cm⁻³
1.0
-1.3171 1.9224 -4.6631
-1.0643 -4.8168 -1.6852
-19.7020 2.1032 6.4318
La Nd Dy
3 12 1
Cartesian
-4.9027 0.5234 1.6005 La
-9.8510 1.0516 3.2159 La
-14.7993 1.5798 4.8313 La
-1.1907 -1.4472 -3.1741 Nd
-6.0735 -0.9260 -1.5801 Nd
-11.0417 -0.3956 0.0418 Nd
-16.0099 0.1347 1.6636 Nd
-3.0730 1.2190 -1.5433 Nd
-8.0359 1.7487 0.0768 Nd
-12.9832 2.2769 1.6919 Nd
-17.9461 2.8067 3.3121 Nd
-2.9466 -2.1507 -0.0544 Nd
-7.9095 -1.6209 1.5658 Nd
-12.8568 -1.0928 3.1808 Nd
-17.8197 -0.5630 4.8010 Nd
0.0000 0.0000 0.0000 Dy